The following is a PBE calculation of a relaxed structure of SrSN2Cl, from Alexandria via LeMat-Bulk.

The total magnetic moment is 1.99 μB/cell.

The space group is P4/mmm (No. 123) and the conventional cell measures 4.259, 4.259 and 4.629 Å, with angles of 90.00, 90.00 and 90.00 degrees. The distinct sites, in fractional coordinates, are Sr at (0.000, 0.000, 0.000), S at (0.500, 0.500, 0.000), N at (0.000, 0.500, 0.500) and Cl at (0.500, 0.500, 0.500).



The following is a PBE calculation of a relaxed structure of Sr6S3NCl2, from Alexandria via LeMat-Bulk.

The total magnetic moment is 0.00 μB/cell.

The space group is C2/m (No. 12) and the conventional cell measures 7.370, 12.699 and 7.154 Å, with angles of 90.00, 110.07 and 90.00 degrees. The distinct sites, in fractional coordinates, are Sr at (0.213, 0.000, 0.259), Sr at (0.231, 0.149, 0.746), S at (0.000, 0.175, 0.000), S at (0.000, 0.500, 0.000), N at (0.000, 0.000, 0.500) and Cl at (0.000, 0.334, 0.500).



The following is a PBE calculation of a relaxed structure of SrS2NCl, from Alexandria via LeMat-Bulk.

The total magnetic moment is 6.00 μB/cell.

The space group is P4/mmm (No. 123) and the conventional cell measures 6.029, 6.029 and 5.643 Å, with angles of 90.00, 90.00 and 90.00 degrees. The distinct sites, in fractional coordinates, are Sr at (0.000, 0.000, 0.000), S at (0.000, 0.500, 0.000), N at (0.500, 0.500, 0.500) and Cl at (0.000, 0.000, 0.500).



The following is a PBE calculation of a relaxed structure of SrS2NCl, from Alexandria via LeMat-Bulk.

The total magnetic moment is 2.05 μB/cell.

The space group is P4/mmm (No. 123) and the conventional cell measures 5.005, 5.005 and 4.144 Å, with angles of 90.00, 90.00 and 90.00 degrees. The distinct sites, in fractional coordinates, are Sr at (0.000, 0.000, 0.000), S at (0.000, 0.500, 0.500), N at (0.500, 0.500, 0.000) and Cl at (0.500, 0.500, 0.500).



The following is a PBE calculation of a relaxed structure of SrS2NCl, from Alexandria via LeMat-Bulk.

The total magnetic moment is 0.65 μB/cell.

The space group is P4/mmm (No. 123) and the conventional cell measures 4.062, 4.062 and 5.926 Å, with angles of 90.00, 90.00 and 90.00 degrees. The distinct sites, in fractional coordinates, are Sr at (0.000, 0.000, 0.000), S at (0.000, 0.500, 0.500), N at (0.500, 0.500, 0.500) and Cl at (0.500, 0.500, 0.000).



The following is a PBE calculation of a relaxed structure of SrS2NCl, from Alexandria via LeMat-Bulk.

The total magnetic moment is 6.00 μB/cell.

The space group is P4/mmm (No. 123) and the conventional cell measures 5.901, 5.901 and 5.033 Å, with angles of 90.00, 90.00 and 90.00 degrees. The distinct sites, in fractional coordinates, are Sr at (0.000, 0.000, 0.000), S at (0.000, 0.500, 0.000), N at (0.000, 0.000, 0.500) and Cl at (0.500, 0.500, 0.500).



The following is a PBE calculation of a relaxed structure of TaSNCl2, from Alexandria via LeMat-Bulk.

The total magnetic moment is 0.00 μB/cell.

The space group is P4/mmm (No. 123) and the conventional cell measures 4.194, 4.194 and 4.242 Å, with angles of 90.00, 90.00 and 90.00 degrees. The distinct sites, in fractional coordinates, are Ta at (0.000, 0.000, 0.000), S at (0.500, 0.500, 0.000), N at (0.500, 0.500, 0.500) and Cl at (0.000, 0.500, 0.500).



The following is a PBE calculation of a relaxed structure of TaSNCl2, from Alexandria via LeMat-Bulk.

The total magnetic moment is 2.91 μB/cell.

The space group is P4/mmm (No. 123) and the conventional cell measures 4.898, 4.898 and 4.725 Å, with angles of 90.00, 90.00 and 90.00 degrees. The distinct sites, in fractional coordinates, are Ta at (0.000, 0.000, 0.000), S at (0.000, 0.000, 0.500), N at (0.500, 0.500, 0.500) and Cl at (0.000, 0.500, 0.000).



Going through the records in order, we get E_form (uncorrected) values of 27.06, -41.14, 17.29, 11.01, -4.09, 21.25, 31.12, 8.39 kcal/mol of atoms.
Going through the records in order, we get E_tot values of -18.440, -111.797, -16.361, -17.721, -20.996, -15.502, -21.250, -26.180 eV for the cell shown.